Model one:
PmDy5Er5: relaxed, GGA-PBE.

Cell and atoms, written as CIF:
```
data_PmDy5Er5
_symmetry_space_group_name_H-M 'P -1'
_symmetry_Int_Tables_number 2
_symmetry_space_group_name_Hall '-P 1'
_cell_length_a 6.799
_cell_length_b 6.942
_cell_length_c 8.262
_cell_angle_alpha 76.42
_cell_angle_beta 76.91
_cell_angle_gamma 72.75
loop_
_atom_site_label
_atom_site_fract_x
_atom_site_fract_y
_atom_site_fract_z
Pm1 0.000 0.000 0.000
Dy1 0.000 0.500 0.000
Dy2 0.157 0.630 0.358
Dy3 0.323 0.766 0.656
Er1 0.212 0.138 0.316
Er2 0.353 0.251 0.716
Er3 0.500 0.500 0.000
```



Model two:
PmDy5Er5: relaxed, GGA-PBE.

Cell and atoms, written as CIF:
```
data_PmDy5Er5
_symmetry_space_group_name_H-M 'P -6 m 2'
_symmetry_Int_Tables_number 187
_symmetry_space_group_name_Hall 'P -6 2'
_cell_length_a 6.0253
_cell_length_b 6.0253
_cell_length_c 11.5782
_cell_angle_alpha 90.00
_cell_angle_beta 90.00
_cell_angle_gamma 120.00
loop_
_atom_site_label
_atom_site_fract_x
_atom_site_fract_y
_atom_site_fract_z
Pm1 0.0000 0.0000 0.0000
Dy1 0.0000 0.0000 0.3222
Dy2 0.3333 0.6667 0.1563
Dy3 0.6667 0.3333 0.0000
Er1 0.0009 0.5005 0.5000
Er2 0.6667 0.3333 0.2650
```



Tell me which of them is the least stable. Sure, it is model two.



Model one:
Pm3Dy7Er2: relaxed, GGA-PBE.

Cell and atoms, written as CIF:
```
data_Pm3Dy7Er2
_symmetry_space_group_name_H-M 'P 1 2/m 1'
_symmetry_Int_Tables_number 10
_symmetry_space_group_name_Hall '-P 2y'
_cell_length_a 5.824
_cell_length_b 3.559
_cell_length_c 18.754
_cell_angle_alpha 90.00
_cell_angle_beta 93.06
_cell_angle_gamma 90.00
loop_
_atom_site_label
_atom_site_fract_x
_atom_site_fract_y
_atom_site_fract_z
Pm1 0.000 0.000 0.000
Pm2 0.280 0.500 0.634
Dy1 0.189 0.500 0.144
Dy2 0.243 0.000 0.463
Dy3 0.309 0.000 0.823
Dy4 0.500 0.500 0.000
Er1 0.210 0.000 0.293
```



Model two:
Pm3Dy7Er2: relaxed, GGA-PBE.

Cell and atoms, written as CIF:
```
data_Pm3Dy7Er2
_symmetry_space_group_name_H-M 'P 1 2/m 1'
_symmetry_Int_Tables_number 10
_symmetry_space_group_name_Hall '-P 2y'
_cell_length_a 6.119
_cell_length_b 5.611
_cell_length_c 12.126
_cell_angle_alpha 90.00
_cell_angle_beta 93.99
_cell_angle_gamma 90.00
loop_
_atom_site_label
_atom_site_fract_x
_atom_site_fract_y
_atom_site_fract_z
Pm1 0.000 0.000 0.000
Pm2 0.461 0.500 0.328
Dy1 0.052 0.500 0.822
Dy2 0.267 0.000 0.556
Dy3 0.407 0.000 0.837
Dy4 0.500 0.500 0.000
Er1 0.134 0.000 0.285
```



Tell me which of them is the least stable. Sure, it is model two.



Model one:
Pm2Dy12Er5: relaxed, GGA-PBE.

Cell and atoms, written as CIF:
```
data_Pm2Dy12Er5
_symmetry_space_group_name_H-M 'P -1'
_symmetry_Int_Tables_number 2
_symmetry_space_group_name_Hall '-P 1'
_cell_length_a 6.136
_cell_length_b 9.370
_cell_length_c 11.195
_cell_angle_alpha 90.05
_cell_angle_beta 100.50
_cell_angle_gamma 109.02
loop_
_atom_site_label
_atom_site_fract_x
_atom_site_fract_y
_atom_site_fract_z
Pm1 0.210 0.474 0.420
Dy1 0.052 0.368 0.104
Dy2 0.106 0.738 0.209
Dy3 0.158 0.104 0.315
Dy4 0.314 0.209 0.632
Dy5 0.370 0.580 0.739
Dy6 0.421 0.948 0.843
Er1 0.000 0.000 0.000
Er2 0.265 0.844 0.527
Er3 0.474 0.315 0.947
```



Model two:
Pm2Dy12Er5: relaxed, GGA-PBE.

Cell and atoms, written as CIF:
```
data_Pm2Dy12Er5
_symmetry_space_group_name_H-M 'C 1 2/m 1'
_symmetry_Int_Tables_number 12
_symmetry_space_group_name_Hall '-C 2y'
_cell_length_a 15.718
_cell_length_b 9.193
_cell_length_c 8.498
_cell_angle_alpha 90.00
_cell_angle_beta 91.01
_cell_angle_gamma 90.00
loop_
_atom_site_label
_atom_site_fract_x
_atom_site_fract_y
_atom_site_fract_z
Pm1 0.000 0.182 0.000
Dy1 0.058 0.000 0.331
Dy2 0.093 0.500 0.883
Dy3 0.126 0.192 0.655
Dy4 0.156 0.319 0.243
Er1 0.000 0.500 0.500
Er2 0.197 0.000 0.010
Er3 0.232 0.500 0.575
```



Tell me which of them is the least stable. Sure, it is model two.



Model one:
Pm3Dy2Er6: relaxed, GGA-PBE.

Cell and atoms, written as CIF:
```
data_Pm3Dy2Er6
_symmetry_space_group_name_H-M 'I 4/m m m'
_symmetry_Int_Tables_number 139
_symmetry_space_group_name_Hall '-I 4 2'
_cell_length_a 4.726
_cell_length_b 4.726
_cell_length_c 33.120
_cell_angle_alpha 90.00
_cell_angle_beta 90.00
_cell_angle_gamma 90.00
loop_
_atom_site_label
_atom_site_fract_x
_atom_site_fract_y
_atom_site_fract_z
Pm1 0.000 0.000 0.000
Pm2 0.000 0.000 0.203
Dy1 0.000 0.000 0.454
Er1 0.000 0.000 0.307
Er2 0.000 0.500 0.121
```



Model two:
Pm3Dy2Er6: relaxed, GGA-PBE.

Cell and atoms, written as CIF:
```
data_Pm3Dy2Er6
_symmetry_space_group_name_H-M 'C 1 2/m 1'
_symmetry_Int_Tables_number 12
_symmetry_space_group_name_Hall '-C 2y'
_cell_length_a 5.661
_cell_length_b 12.044
_cell_length_c 10.412
_cell_angle_alpha 90.00
_cell_angle_beta 90.07
_cell_angle_gamma 90.00
loop_
_atom_site_label
_atom_site_fract_x
_atom_site_fract_y
_atom_site_fract_z
Pm1 0.000 0.000 0.000
Pm2 0.000 0.293 0.000
Dy1 0.000 0.367 0.500
Er1 0.001 0.151 0.699
Er2 0.001 0.500 0.789
```



Tell me which of them is the least stable. Sure, it is model one.